KRbBa3: relaxed, PBE.

Calculated values
* energy of formation: 2.3 eV per formula unit
* total DFT energy (no corrections): -1.109 eV/atom
* offset from the most stable computed form: 0.000 eV per atom

```
data_KRbBa3
_symmetry_space_group_name_H-M 'P m -3 m'
_symmetry_Int_Tables_number 221
_symmetry_space_group_name_Hall '-P 4 2 3'
_cell_length_a 7.438
_cell_length_b 7.438
_cell_length_c 7.438
_cell_angle_alpha 90.00
_cell_angle_beta 90.00
_cell_angle_gamma 90.00
loop_
_atom_site_label
_atom_site_type_symbol
_atom_site_fract_x
_atom_site_fract_y
_atom_site_fract_z
K1 K 0.000 0.000 0.000
Rb1 Rb 0.500 0.500 0.500
Ba1 Ba 0.000 0.000 0.500
```


K2RbBa2: relaxed, PBE.

Calculated values
* energy of formation: 0.9 eV per formula unit
* total DFT energy (no corrections): -1.216 eV/atom
* offset from the most stable computed form: 0.140 eV per atom

```
data_K2RbBa2
_symmetry_space_group_name_H-M 'I 4/m m m'
_symmetry_Int_Tables_number 139
_symmetry_space_group_name_Hall '-I 4 2'
_cell_length_a 5.968
_cell_length_b 5.968
_cell_length_c 21.736
_cell_angle_alpha 90.00
_cell_angle_beta 90.00
_cell_angle_gamma 90.00
loop_
_atom_site_label
_atom_site_type_symbol
_atom_site_fract_x
_atom_site_fract_y
_atom_site_fract_z
K1 K 0.000 0.000 0.096
Rb1 Rb 0.000 0.000 0.500
Ba1 Ba 0.000 0.500 0.250
```


K3Rb3Ba: relaxed, PBE.

Calculated values
* energy of formation: 2.6 eV per formula unit
* total DFT energy (no corrections): -0.785 eV/atom

```
data_K3Rb3Ba
_symmetry_space_group_name_H-M 'P m -3 n'
_symmetry_Int_Tables_number 223
_symmetry_space_group_name_Hall '-P 4n 2 3'
_cell_length_a 11.088
_cell_length_b 11.088
_cell_length_c 11.088
_cell_angle_alpha 90.00
_cell_angle_beta 90.00
_cell_angle_gamma 90.00
loop_
_atom_site_label
_atom_site_type_symbol
_atom_site_fract_x
_atom_site_fract_y
_atom_site_fract_z
K1 K 0.000 0.250 0.500
Rb1 Rb 0.000 0.500 0.250
Ba1 Ba 0.000 0.000 0.000
```


K6Rb12Ba: relaxed, PBE.

Calculated values
* energy of formation: 0.8 eV per formula unit
* total DFT energy (no corrections): -1.014 eV/atom

```
data_K6Rb12Ba
_symmetry_space_group_name_H-M 'R -3'
_symmetry_Int_Tables_number 148
_symmetry_space_group_name_Hall '-R 3'
_cell_length_a 16.4747
_cell_length_b 16.4747
_cell_length_c 20.8508
_cell_angle_alpha 90.00
_cell_angle_beta 90.00
_cell_angle_gamma 120.00
loop_
_atom_site_label
_atom_site_type_symbol
_atom_site_fract_x
_atom_site_fract_y
_atom_site_fract_z
K1 K 0.0309 0.4392 0.2032
Rb1 Rb 0.0353 0.1864 0.3112
Rb2 Rb 0.0599 0.8457 0.9128
Ba1 Ba 0.0000 0.0000 0.5000
```


K2RbBa2: relaxed, PBE.

Calculated values
* energy of formation: 0.2 eV per formula unit
* total DFT energy (no corrections): -1.356 eV/atom
* offset from the most stable computed form: 0.000 eV per atom

```
data_K2RbBa2
_symmetry_space_group_name_H-M 'C 1 2/m 1'
_symmetry_Int_Tables_number 12
_cell_length_a 7.885
_cell_length_b 4.628
_cell_length_c 19.846
_cell_angle_alpha 90.00
_cell_angle_beta 96.95
_cell_angle_gamma 90.00
loop_
_symmetry_equiv_pos_as_xyz
'x,y,z'
'-x,-y,-z'
'-x,y,-z'
'x,-y,z'
'x+1/2,y+1/2,z'
'-x+1/2,-y+1/2,-z'
'-x+1/2,y+1/2,-z'
'x+1/2,-y+1/2,z'
loop_
_atom_site_label
_atom_site_type_symbol
_atom_site_fract_x
_atom_site_fract_y
_atom_site_fract_z
K1 K 0.071 0.000 0.289
Rb1 Rb 0.000 0.500 0.500
Ba1 Ba 0.145 0.500 0.908
```


K5Rb4Ba: relaxed, PBE.

Calculated values
* energy of formation: 0.3 eV per formula unit
* total DFT energy (no corrections): -1.095 eV/atom

```
data_K5Rb4Ba
_symmetry_space_group_name_H-M 'P 4/m m m'
_symmetry_Int_Tables_number 123
_symmetry_space_group_name_Hall '-P 4 2'
_cell_length_a 4.676
_cell_length_b 4.676
_cell_length_c 35.637
_cell_angle_alpha 90.00
_cell_angle_beta 90.00
_cell_angle_gamma 90.00
loop_
_atom_site_label
_atom_site_type_symbol
_atom_site_fract_x
_atom_site_fract_y
_atom_site_fract_z
K1 K 0.000 0.000 0.000
K2 K 0.000 0.000 0.205
K3 K 0.000 0.000 0.407
Rb1 Rb 0.500 0.500 0.103
Rb2 Rb 0.500 0.500 0.307
Ba1 Ba 0.500 0.500 0.500
```


K4Rb5Ba: relaxed, PBE.

Calculated values
* energy of formation: 0.4 eV per formula unit
* total DFT energy (no corrections): -1.077 eV/atom

```
data_K4Rb5Ba
_symmetry_space_group_name_H-M 'P 4/m m m'
_symmetry_Int_Tables_number 123
_symmetry_space_group_name_Hall '-P 4 2'
_cell_length_a 4.650
_cell_length_b 4.650
_cell_length_c 36.743
_cell_angle_alpha 90.00
_cell_angle_beta 90.00
_cell_angle_gamma 90.00
loop_
_atom_site_label
_atom_site_type_symbol
_atom_site_fract_x
_atom_site_fract_y
_atom_site_fract_z
K1 K 0.000 0.000 0.100
K2 K 0.000 0.000 0.299
Rb1 Rb 0.500 0.500 0.000
Rb2 Rb 0.500 0.500 0.200
Rb3 Rb 0.500 0.500 0.401
Ba1 Ba 0.000 0.000 0.500
```


K2Rb4Ba: relaxed, PBE.

Calculated values
* energy of formation: 0.3 eV per formula unit
* total DFT energy (no corrections): -1.096 eV/atom

```
data_K2Rb4Ba
_symmetry_space_group_name_H-M 'R -3 m'
_symmetry_Int_Tables_number 166
_symmetry_space_group_name_Hall '-R 3 2"'
_cell_length_a 4.7755
_cell_length_b 4.7755
_cell_length_c 84.9529
_cell_angle_alpha 90.00
_cell_angle_beta 90.00
_cell_angle_gamma 120.00
loop_
_atom_site_label
_atom_site_type_symbol
_atom_site_fract_x
_atom_site_fract_y
_atom_site_fract_z
K1 K 0.0000 0.0000 0.0719
Rb1 Rb 0.0000 0.0000 0.2137
Rb2 Rb 0.0000 0.0000 0.3580
Ba1 Ba 0.0000 0.0000 0.5000
```


K3Rb12Ba: relaxed, PBE.

Calculated values
* energy of formation: 0.6 eV per formula unit
* total DFT energy (no corrections): -1.013 eV/atom

```
data_K3Rb12Ba
_symmetry_space_group_name_H-M 'P 4/m m m'
_symmetry_Int_Tables_number 123
_symmetry_space_group_name_Hall '-P 4 2'
_cell_length_a 6.974
_cell_length_b 6.974
_cell_length_c 28.008
_cell_angle_alpha 90.00
_cell_angle_beta 90.00
_cell_angle_gamma 90.00
loop_
_atom_site_label
_atom_site_type_symbol
_atom_site_fract_x
_atom_site_fract_y
_atom_site_fract_z
K1 K 0.000 0.000 0.000
K2 K 0.000 0.000 0.252
Rb1 Rb 0.000 0.500 0.125
Rb2 Rb 0.000 0.500 0.376
Rb3 Rb 0.500 0.500 0.000
Rb4 Rb 0.500 0.500 0.250
Rb5 Rb 0.500 0.500 0.500
Ba1 Ba 0.000 0.000 0.500
```


K11Rb17Ba: relaxed, PBE.

Calculated values
* energy of formation: 0.9 eV per formula unit
* total DFT energy (no corrections): -1.020 eV/atom

```
data_K11Rb17Ba
_symmetry_space_group_name_H-M 'C 1 m 1'
_symmetry_Int_Tables_number 8
_cell_length_a 16.884
_cell_length_b 24.029
_cell_length_c 14.575
_cell_angle_alpha 90.00
_cell_angle_beta 125.28
_cell_angle_gamma 90.00
loop_
_symmetry_equiv_pos_as_xyz
'x,y,z'
'x,-y,z'
'x+1/2,y+1/2,z'
'x+1/2,-y+1/2,z'
loop_
_atom_site_label
_atom_site_type_symbol
_atom_site_fract_x
_atom_site_fract_y
_atom_site_fract_z
K1 K 0.000 0.000 0.000
K2 K 0.040 0.409 0.193
K3 K 0.094 0.094 0.568
K4 K 0.132 0.315 0.006
K5 K 0.223 0.406 0.823
K6 K 0.319 0.316 0.379
Rb1 Rb 0.006 0.500 0.473
Rb2 Rb 0.114 0.296 0.508
Rb3 Rb 0.227 0.000 0.921
Rb4 Rb 0.273 0.138 0.195
Rb5 Rb 0.299 0.203 0.880
Rb6 Rb 0.319 0.500 0.551
Rb7 Rb 0.322 0.500 0.195
Rb8 Rb 0.380 0.159 0.598
Rb9 Rb 0.454 0.000 0.826
Rb10 Rb 0.475 0.341 0.789
Rb11 Rb 0.497 0.325 0.195
Ba1 Ba 0.188 0.000 0.377
```


> What is the formula in the fifth record?

K2RbBa2